Record 1
Entry from Alexandria: an optimized crystal structure of Ce2Er3Ge4 (GGA-PBE).

ΔE_f: -0.82 eV per atom
density of states at the Fermi level: 1.546 states/eV/atom

Cell lengths 7.632, 7.904, 7.803 Å; angles 90.00, 90.00, 111.42 degrees
Site moments in Bohr magnetons follow the coordinates.
Fractional positions:
1 Er 0.235 0.242 0.664  0.01
2 Er 0.765 0.758 0.336  0.01
3 Ce 0.935 0.805 0.820  0.62
4 Ge 0.368 0.493 0.368  -0.01
5 Ge 0.668 0.913 0.037  -0.02
6 Er 0.735 0.242 0.836  0.01
7 Ge 0.632 0.507 0.632  -0.01
8 Ge 0.132 0.507 0.868  -0.01
9 Er 0.265 0.758 0.164  0.01
10 Er 0.500 0.500 0.000  0.03
11 Ce 0.565 0.195 0.320  0.62
12 Ge 0.168 0.913 0.463  -0.02
13 Ge 0.832 0.087 0.537  -0.02
14 Ce 0.435 0.805 0.680  0.62
15 Er 0.000 0.500 0.500  0.03
16 Ge 0.868 0.493 0.132  -0.01
17 Ge 0.332 0.087 0.963  -0.02
18 Ce 0.065 0.195 0.180  0.62

---

Record 2
Entry from Alexandria: an optimized crystal structure of Ce2ErGe (GGA-PBE).

ΔE_f: 0.02 eV per atom
density of states at the Fermi level: 2.205 states/eV/atom

Cell lengths 3.223, 3.223, 11.521 Å; angles 81.96, 81.96, 60.00 degrees
Fractional positions:
1 Er 0.000 0.000 0.000
2 Ce 0.907 0.907 0.279
3 Ge 0.500 0.500 0.500
4 Ce 0.093 0.093 0.721

---

Record 3
Entry from Alexandria: an optimized crystal structure of CeErGe (GGA-PBE).

ΔE_f: -0.32 eV per atom
density of states at the Fermi level: 2.688 states/eV/atom

Cell lengths 4.126, 4.756, 4.756 Å; angles 120.00, 90.00, 90.00 degrees
Site moments in Bohr magnetons follow the coordinates.
Fractional positions:
1 Ge 0.241 0.333 0.667  -0.03
2 Ce 0.642 0.667 0.333  0.90
3 Er 0.117 0.000 0.000  0.16

---

Record 4
Entry from Alexandria: an optimized crystal structure of Ce2Er2Ge3 (GGA-PBE).

ΔE_f: -0.54 eV per atom
density of states at the Fermi level: 1.181 states/eV/atom

Cell lengths 4.286, 7.063, 7.004 Å; angles 99.59, 90.00, 107.66 degrees
Site moments in Bohr magnetons follow the coordinates.
Fractional positions:
1 Ge 0.000 0.000 0.000  -0.01
2 Er 0.130 0.260 0.371  0.07
3 Ce 0.622 0.245 0.862  0.33
4 Ce 0.378 0.755 0.138  0.33
5 Ge 0.748 0.495 0.249  -0.01
6 Ge 0.252 0.505 0.751  -0.01
7 Er 0.870 0.740 0.629  0.07

---

Record 5
Entry from Alexandria: an optimized crystal structure of CeErGe4 (GGA-PBE).

ΔE_f: -0.33 eV per atom
density of states at the Fermi level: 1.423 states/eV/atom

Cell lengths 5.611, 5.611, 5.611 Å; angles 60.00, 60.00, 60.00 degrees
Site moments in Bohr magnetons follow the coordinates.
Fractional positions:
1 Ge 0.121 0.626 0.626  0.00
2 Ge 0.626 0.626 0.121  0.00
3 Ge 0.626 0.121 0.626  0.00
4 Er 0.000 0.000 0.000  0.04
5 Ge 0.626 0.626 0.626  0.00
6 Ce 0.250 0.250 0.250  0.26

---

Record 6
Entry from Alexandria: an optimized crystal structure of CeEr2Ge (GGA-PBE).

ΔE_f: -0.28 eV per atom
density of states at the Fermi level: 1.804 states/eV/atom

Cell lengths 3.555, 3.555, 8.353 Å; angles 90.00, 90.00, 90.00 degrees
Site moments in Bohr magnetons follow the coordinates.
Fractional positions:
1 Er 0.000 0.000 0.796  0.08
2 Ge 0.500 0.500 0.000  0.01
3 Er 0.000 0.000 0.204  0.08
4 Ce 0.500 0.500 0.500  0.71

---

Record 7
Entry from Alexandria: an optimized crystal structure of CeErGe2 (GGA-PBE).

ΔE_f: -0.76 eV per atom
density of states at the Fermi level: 1.614 states/eV/atom

Cell lengths 4.337, 4.021, 5.822 Å; angles 90.00, 111.87, 90.00 degrees
Site moments in Bohr magnetons follow the coordinates.
Fractional positions:
1 Ge 0.167 0.500 0.873  0.00
2 Ge 0.997 0.000 0.533  0.00
3 Er 0.446 0.500 0.432  0.01
4 Ce 0.720 0.000 0.980  0.52

---

Record 8
Entry from Alexandria: an optimized crystal structure of CeErGe (GGA-PBE).

ΔE_f: -0.37 eV per atom
density of states at the Fermi level: 1.728 states/eV/atom

Cell lengths 4.643, 4.643, 8.085 Å; angles 91.15, 91.15, 58.86 degrees
Site moments in Bohr magnetons follow the coordinates.
Fractional positions:
1 Ge 0.002 0.002 0.264  -0.01
2 Ce 0.333 0.333 0.915  0.65
3 Ge 0.998 0.998 0.736  -0.01
4 Er 0.335 0.335 0.382  0.01
5 Ce 0.667 0.667 0.085  0.65
6 Er 0.665 0.665 0.618  0.01

---

Record 9
Entry from Alexandria: an optimized crystal structure of CeEr2Ge4 (GGA-PBE).

ΔE_f: -0.73 eV per atom
density of states at the Fermi level: 0.990 states/eV/atom

Cell lengths 4.024, 4.253, 9.574 Å; angles 102.83, 102.13, 90.00 degrees
Site moments in Bohr magnetons follow the coordinates.
Fractional positions:
1 Ge 0.068 0.568 0.135  0.00
2 Er 0.182 0.182 0.364  -0.01
3 Ce 0.500 0.000 0.000  0.58
4 Ge 0.341 0.341 0.681  0.00
5 Ge 0.932 0.432 0.865  0.00
6 Er 0.818 0.818 0.636  -0.01
7 Ge 0.659 0.659 0.319  0.00

---

Record 10
Entry from Alexandria: an optimized crystal structure of CeErInGe (GGA-PBE).

ΔE_f: -0.44 eV per atom
density of states at the Fermi level: 1.795 states/eV/atom

Cell lengths 5.230, 5.230, 5.230 Å; angles 60.00, 60.00, 60.00 degrees
Site moments in Bohr magnetons follow the coordinates.
Fractional positions:
1 Er 0.750 0.750 0.750  0.07
2 Ce 0.250 0.250 0.250  0.71
3 Ge 0.500 0.500 0.500  0.00
4 In 0.000 0.000 0.000  0.01

---

Record 11
Entry from Alexandria: an optimized crystal structure of Ce2ErGe3Ir4 (GGA-PBE).

ΔE_f: -0.79 eV per atom
density of states at the Fermi level: 0.972 states/eV/atom

Cell lengths 4.157, 4.157, 11.319 Å; angles 90.00, 90.00, 90.00 degrees
Site moments in Bohr magnetons follow the coordinates.
Fractional positions:
1 Ce 0.000 0.500 0.768  0.56
2 Ir 0.500 0.000 0.661  -0.02
3 Ge 0.500 0.000 0.878  0.00
4 Ce 0.500 0.000 0.232  0.56
5 Ge 0.000 0.000 0.500  0.01
6 Ir 0.500 0.500 0.000  0.01
7 Ir 0.000 0.500 0.339  -0.02
8 Ge 0.000 0.500 0.122  0.00
9 Er 0.500 0.500 0.500  0.03
10 Ir 0.000 0.000 0.000  0.00

---

Record 12
Entry from Alexandria: an optimized crystal structure of Li2CeErGe2 (GGA-PBE).

ΔE_f: -0.62 eV per atom
density of states at the Fermi level: 1.046 states/eV/atom

Cell lengths 4.437, 4.437, 7.271 Å; angles 90.00, 90.00, 120.00 degrees
Site moments in Bohr magnetons follow the coordinates.
Fractional positions:
1 Ce 0.000 0.000 0.000  0.71
2 Ge 0.667 0.333 0.741  -0.02
3 Ge 0.333 0.667 0.259  -0.02
4 Li 0.667 0.333 0.284  0.00
5 Li 0.333 0.667 0.716  0.00
6 Er 0.000 0.000 0.500  0.02

---

Record 13
Entry from Alexandria: an optimized crystal structure of LiCeErGe (GGA-PBE).

ΔE_f: -0.32 eV per atom
density of states at the Fermi level: 2.182 states/eV/atom

Cell lengths 5.062, 5.062, 5.062 Å; angles 60.00, 60.00, 60.00 degrees
Site moments in Bohr magnetons follow the coordinates.
Fractional positions:
1 Er 0.500 0.500 0.500  0.05
2 Li 0.750 0.750 0.750  0.02
3 Ge 0.250 0.250 0.250  -0.01
4 Ce 0.000 0.000 0.000  0.71

---

Record 14
Entry from Alexandria: an optimized crystal structure of CeErMgGe (GGA-PBE).

ΔE_f: -0.30 eV per atom
density of states at the Fermi level: 1.270 states/eV/atom

Cell lengths 5.165, 5.165, 5.165 Å; angles 60.00, 60.00, 60.00 degrees
Site moments in Bohr magnetons follow the coordinates.
Fractional positions:
1 Ge 0.000 0.000 0.000  0.01
2 Ce 0.750 0.750 0.750  0.74
3 Er 0.250 0.250 0.250  0.09
4 Mg 0.500 0.500 0.500  0.01